(1)
# GGA-PBE CoNiSnW, optimized geometry
data_CoNiSnW
_chemical_formula_sum 'Co4 Ni4 Sn4 W4'
_cell_length_a 6.109
_cell_length_b 6.109
_cell_length_c 6.109
_cell_angle_alpha 90.00
_cell_angle_beta 90.00
_cell_angle_gamma 90.00
_space_group_name_H-M_alt 'F -4 3 m'
_space_group_IT_number 216
_space_group_name_Hall 'F -4 2 3'
loop_
_atom_site_label
_atom_site_type_symbol
_atom_site_fract_x
_atom_site_fract_y
_atom_site_fract_z
Co1 Co 0.000 0.000 0.000
Ni1 Ni 0.000 0.000 0.500
Sn1 Sn 0.250 0.250 0.750
W1 W 0.250 0.250 0.250
# total energy = -7.208 eV per atom

(2)
# GGA-PBE SrCoNi2, optimized geometry
data_SrCoNi2
_chemical_formula_sum 'Sr4 Co4 Ni8'
_cell_length_a 6.311
_cell_length_b 6.311
_cell_length_c 6.311
_cell_angle_alpha 90.00
_cell_angle_beta 90.00
_cell_angle_gamma 90.00
_space_group_name_H-M_alt 'F -4 3 m'
_space_group_IT_number 216
_space_group_name_Hall 'F -4 2 3'
loop_
_atom_site_label
_atom_site_type_symbol
_atom_site_fract_x
_atom_site_fract_y
_atom_site_fract_z
Sr1 Sr 0.000 0.000 0.000
Co1 Co 0.250 0.250 0.250
Ni1 Ni 0.000 0.000 0.500
Ni2 Ni 0.250 0.250 0.750
# total energy = -4.337 eV per atom

(3)
# GGA-PBE SrCo2Ni, optimized geometry
data_SrCo2Ni
_chemical_formula_sum 'Sr4 Co8 Ni4'
_cell_length_a 6.318
_cell_length_b 6.318
_cell_length_c 6.318
_cell_angle_alpha 90.00
_cell_angle_beta 90.00
_cell_angle_gamma 90.00
_space_group_name_H-M_alt 'F -4 3 m'
_space_group_IT_number 216
_space_group_name_Hall 'F -4 2 3'
loop_
_atom_site_label
_atom_site_type_symbol
_atom_site_fract_x
_atom_site_fract_y
_atom_site_fract_z
Sr1 Sr 0.000 0.000 0.000
Co1 Co 0.000 0.000 0.500
Co2 Co 0.250 0.250 0.250
Ni1 Ni 0.250 0.250 0.750
# total energy = -4.656 eV per atom

(4)
# GGA-PBE Ta4CoNi, optimized geometry
data_Ta4CoNi
_chemical_formula_sum 'Ta8 Co2 Ni2'
_cell_length_a 6.159
_cell_length_b 6.159
_cell_length_c 4.913
_cell_angle_alpha 90.00
_cell_angle_beta 90.00
_cell_angle_gamma 90.00
_space_group_name_H-M_alt 'I 4 2 2'
_space_group_IT_number 97
_space_group_name_Hall 'I 4 2'
loop_
_atom_site_label
_atom_site_type_symbol
_atom_site_fract_x
_atom_site_fract_y
_atom_site_fract_z
Ta1 Ta 0.160 0.340 0.250
Co1 Co 0.000 0.000 0.000
Ni1 Ni 0.000 0.000 0.500
# energy of formation = -244 meV/atom

(5)
# GGA-PBE TaTlCoNi, optimized geometry
data_TaTlCoNi
_chemical_formula_sum 'Ta4 Tl4 Co4 Ni4'
_cell_length_a 6.257
_cell_length_b 6.257
_cell_length_c 6.257
_cell_angle_alpha 90.00
_cell_angle_beta 90.00
_cell_angle_gamma 90.00
_space_group_name_H-M_alt 'F -4 3 m'
_space_group_IT_number 216
_space_group_name_Hall 'F -4 2 3'
loop_
_atom_site_label
_atom_site_type_symbol
_atom_site_fract_x
_atom_site_fract_y
_atom_site_fract_z
Ta1 Ta 0.000 0.000 0.000
Tl1 Tl 0.250 0.250 0.250
Co1 Co 0.000 0.000 0.500
Ni1 Ni 0.250 0.250 0.750
# total energy = -6.230 eV per atom

(6)
# GGA-PBE TaTlCoNi, optimized geometry
data_TaTlCoNi
_chemical_formula_sum 'Ta4 Tl4 Co4 Ni4'
_cell_length_a 6.281
_cell_length_b 6.281
_cell_length_c 6.281
_cell_angle_alpha 90.00
_cell_angle_beta 90.00
_cell_angle_gamma 90.00
_space_group_name_H-M_alt 'F -4 3 m'
_space_group_IT_number 216
_space_group_name_Hall 'F -4 2 3'
loop_
_atom_site_label
_atom_site_type_symbol
_atom_site_fract_x
_atom_site_fract_y
_atom_site_fract_z
Ta1 Ta 0.000 0.000 0.000
Tl1 Tl 0.250 0.250 0.250
Co1 Co 0.250 0.250 0.750
Ni1 Ni 0.000 0.000 0.500
# total energy = -6.235 eV per atom

no.,mass density (g cm⁻³),V (A^3/atom)
1,12.243,14.2
2,6.976,15.7
3,6.959,15.8
4,14.995,15.5
5,13.636,15.3
6,13.482,15.5